[1]
Below is KNa4Cu3Cl12 after structural relaxation, with properties calculated at the PBE-GGA level.

Results
- total energy (eV per cell) = -63.037
- SG = No. 204
- ΔE_f (raw) (eV/atom) = -1.1108
- size of the total moment (Bohr magnetons per cell) = 2.031

Cell lengths 8.650, 8.650, 8.650 Å; angles 109.47, 109.47, 109.47 degrees
Site moments in Bohr magnetons follow the coordinates.
Fractional coordinates of all 20 atoms:
1 K 0.000 0.000 0.000  0.00
2 Na 0.500 0.000 0.000  0.00
3 Na 0.500 0.500 0.500  0.00
4 Na 0.000 0.500 0.000  0.00
5 Na 0.000 0.000 0.500  0.00
6 Cu 0.000 0.500 0.500  0.32
7 Cu 0.500 0.500 0.000  0.32
8 Cu 0.500 0.000 0.500  0.32
9 Cl 0.336 0.843 0.180  0.07
10 Cl 0.664 0.157 0.820  0.07
11 Cl 0.664 0.843 0.507  0.07
12 Cl 0.820 0.664 0.157  0.07
13 Cl 0.843 0.180 0.336  0.07
14 Cl 0.157 0.493 0.336  0.07
15 Cl 0.493 0.336 0.157  0.07
16 Cl 0.157 0.820 0.664  0.07
17 Cl 0.336 0.157 0.493  0.07
18 Cl 0.180 0.336 0.843  0.07
19 Cl 0.843 0.507 0.664  0.07
20 Cl 0.507 0.664 0.843  0.07



[2]
Below is K4Ce3AuS8 after structural relaxation, with properties calculated at the PBE-GGA level.

Results
- total energy (eV per cell) = -81.867
- SG = No. 12
- ΔE_f (raw) (eV/atom) = -1.4612
- size of the total moment (Bohr magnetons per cell) = 1.094

Cell lengths 8.115, 8.745, 8.339 Å; angles 118.29, 119.12, 90.00 degrees
Site moments in Bohr magnetons follow the coordinates.
Fractional coordinates of all 16 atoms:
1 K 0.500 0.000 0.000  0.00
2 K 0.500 0.000 0.500  0.00
3 K 0.000 0.000 0.000  0.00
4 K 0.000 0.000 0.500  0.00
5 Ce 0.500 0.500 0.000  0.44
6 Ce 0.500 0.500 0.500  0.42
7 Ce 0.000 0.500 0.500  0.42
8 Au 0.000 0.500 0.000  -0.03
9 S 0.228 0.695 0.958  -0.02
10 S 0.255 0.715 0.510  -0.02
11 S 0.267 0.294 0.535  -0.01
12 S 0.730 0.695 0.958  -0.02
13 S 0.270 0.305 0.042  -0.02
14 S 0.733 0.706 0.465  -0.01
15 S 0.745 0.285 0.490  -0.02
16 S 0.772 0.305 0.042  -0.02



[3]
Below is CePrCBr after structural relaxation, with properties calculated at the PBE-GGA level.

Results
- total energy (eV per cell) = -24.976
- SG = No. 160
- ΔE_f (raw) (eV/atom) = -0.8415
- size of the total moment (Bohr magnetons per cell) = 0.499

Cell lengths 3.775, 3.772, 7.844 Å; angles 90.01, 103.93, 119.97 degrees
Site moments in Bohr magnetons follow the coordinates.
Fractional coordinates of all 4 atoms:
1 Ce 0.089 0.942 0.046  0.48
2 Pr 0.511 0.154 0.680  -0.02
3 C 0.313 0.554 0.882  -0.01
4 Br 0.966 0.381 0.362  0.00



Number 1: V 24.91 Å³ per atom. Number 2: V 27.15 Å³ per atom. Number 3: V 23.24 Å³ per atom.